BiHPd3 after structural relaxation, computed with PBE-GGA.

```
BiHPd3
1.0
5.1716 0.0000 0.0000
0.0000 5.1716 0.0000
0.0000 0.0000 5.1716
Pd Bi H
3 1 1
Direct
0.0000 0.5000 0.0000
0.5000 0.0000 0.0000
0.0000 0.0000 0.5000
0.0000 0.0000 0.0000
0.5000 0.5000 0.5000
```

Its density of states at the Fermi level is 1.48 states/eV/atom. The calculation puts the energy above the most stable polymorph in this dataset at 1379.6 meV per atom.

***

Sm3Y2Ho6Th after structural relaxation, computed with PBE-GGA.

```
Sm3Y2Ho6Th
1.0
-1.3083 2.9015 -5.2951
-0.2696 -6.1653 0.2905
-10.6406 1.7239 4.7769
Ho Th Y Sm
6 1 2 3
Direct
0.4127 0.0833 0.2483
0.7540 0.7540 0.2482
0.5873 0.9167 0.7517
0.2460 0.2460 0.7518
0.0833 0.4127 0.2483
0.9167 0.5873 0.7517
0.0000 0.0000 0.0000
0.3332 0.6668 0.0000
0.6668 0.3332 0.0000
0.5000 0.5000 0.5000
0.8328 0.1672 0.5000
0.1672 0.8328 0.5000
```

The calculation puts the energy of formation from the pure elements at 0.022 eV per atom. Its density of states at the Fermi level is 1.30 states/eV/atom.

***

Ba3Cd2In7 after structural relaxation, computed with PBE-GGA.

```
Ba3Cd2In7
1.0
6.1296 0.0000 1.9185
2.7645 5.4707 1.9185
-0.0256 -0.0158 10.8329
In Ba Cd
7 3 2
Direct
0.4148 0.9262 0.2441
0.5852 0.0738 0.7559
0.9262 0.4148 0.2441
0.4148 0.4148 0.2441
0.5000 0.5000 0.5000
0.5852 0.5852 0.7559
0.0738 0.5852 0.7559
0.0000 0.0000 0.0000
0.1421 0.1421 0.5737
0.8579 0.8579 0.4263
0.3360 0.3360 0.9921
0.6640 0.6640 0.0079
```

The calculation puts the energy of formation from the pure elements at -0.353 eV per atom. Its density of states at the Fermi level is 0.46 states/eV/atom.

***

Number 1: E_tot -3.3550 eV per atom. Number 2: E_tot -5.1422 eV per atom. Number 3: E_tot -2.5836 eV per atom.